5
Lattice="-1.592 1.592 6.185 1.592 -1.592 6.185 1.592 1.592 -6.185" Properties=species:S:1:pos:R:3 comment="Zn2InH2 (meta-GGA SCAN, PBEsol geometry)" total_energy_ev_per_cell=-65.54 magmom_total_mub_per_fu=0.00 space_group=I4/mmm pbc="T T T"
Zn 0.000 0.000 1.987
Zn 0.000 0.000 10.383
In 0.000 0.000 6.185
H 1.592 0.000 3.093
H 0.000 1.592 3.093